No. 1
The following is a DFT calculation (GGA-PBE) of LiTb6S8 after structural relaxation.

Lattice parameters (Å, degrees): 7.8042 7.8042 7.8042 60.00 60.00 60.00
Closest atoms and distances in Å follow each position.
Positions (direct):
Li (0.0000, 0.0000, 0.0000)  6 S 2.70
Tb (0.0000, 0.0000, 0.5000)  6 S 2.76
Tb (0.0000, 0.5000, 0.0000)  6 S 2.76
Tb (0.0000, 0.5000, 0.5000)  6 S 2.76
Tb (0.5000, 0.0000, 0.0000)  6 S 2.76
Tb (0.5000, 0.0000, 0.5000)  6 S 2.76
Tb (0.5000, 0.5000, 0.0000)  6 S 2.76
S (0.2450, 0.2450, 0.7550)  1 Li 2.70, 4 Tb 2.76
S (0.2450, 0.7550, 0.2450)  1 Li 2.70, 4 Tb 2.76
S (0.2450, 0.7550, 0.7550)  1 Li 2.70, 4 Tb 2.76
S (0.2500, 0.2500, 0.2500)  6 Tb 2.76
S (0.7500, 0.7500, 0.7500)  6 Tb 2.76
S (0.7550, 0.2450, 0.2450)  1 Li 2.70, 4 Tb 2.76
S (0.7550, 0.2450, 0.7550)  1 Li 2.70, 4 Tb 2.76
S (0.7550, 0.7550, 0.2450)  1 Li 2.70, 4 Tb 2.76

Properties
As for the crystal system: cubic. As for the space group: No. 225. For the excess energy over the best structure of this formula in the dataset, the calculation gives 0.0 meV/atom. Its magnetization is 0.0 μB per formula unit. The calculation puts the formation energy without anion corrections at -30.11 eV/f.u.

No. 2
The following is a DFT calculation (GGA-PBE) of NdGdErPu after structural relaxation.

Lattice parameters (Å, degrees): 7.9712 7.9712 7.9712 90.00 90.00 90.00
Closest atoms and distances in Å follow each position.
Positions (direct):
Nd (0.0000, 0.0000, 0.0000)  4 Er 3.45, 4 Pu 3.45
Nd (0.0000, 0.5000, 0.5000)  4 Er 3.45, 4 Pu 3.45
Nd (0.5000, 0.0000, 0.5000)  4 Er 3.45, 4 Pu 3.45
Nd (0.5000, 0.5000, 0.0000)  4 Er 3.45, 4 Pu 3.45
Gd (0.0000, 0.0000, 0.5000)  4 Er 3.45, 4 Pu 3.45
Gd (0.0000, 0.5000, 0.0000)  4 Er 3.45, 4 Pu 3.45
Gd (0.5000, 0.0000, 0.0000)  4 Er 3.45, 4 Pu 3.45
Gd (0.5000, 0.5000, 0.5000)  4 Er 3.45, 4 Pu 3.45
Er (0.2500, 0.2500, 0.2500)  4 Gd 3.45, 4 Nd 3.45
Er (0.2500, 0.7500, 0.7500)  4 Gd 3.45, 4 Nd 3.45
Er (0.7500, 0.2500, 0.7500)  4 Gd 3.45, 4 Nd 3.45
Er (0.7500, 0.7500, 0.2500)  4 Gd 3.45, 4 Nd 3.45
Pu (0.2500, 0.2500, 0.7500)  4 Gd 3.45, 4 Nd 3.45
Pu (0.2500, 0.7500, 0.2500)  4 Gd 3.45, 4 Nd 3.45
Pu (0.7500, 0.2500, 0.2500)  4 Gd 3.45, 4 Nd 3.45
Pu (0.7500, 0.7500, 0.7500)  4 Gd 3.45, 4 Nd 3.45

Properties
As for the formation energy from the elements: 0.195 eV/atom. As for the crystal system: cubic. As for the space group: No. 216. Its magnetization is 14.6 μB per formula unit.

No. 3
The following is a DFT calculation (GGA-PBE) of Re2TeMo after structural relaxation.

Lattice parameters (Å, degrees): 3.1133 3.1133 6.8937 90.00 90.00 90.00
Closest atoms and distances in Å follow each position.
Positions (direct):
Re (0.0000, 0.0000, 0.0000)  4 Re 2.70, 4 Mo 2.76
Re (0.5000, 0.5000, 0.2264)  4 Re 2.70, 4 Te 2.90
Te (0.0000, 0.0000, 0.5012)  4 Mo 2.83, 4 Re 2.90, 4 Te 3.11
Mo (0.5000, 0.5000, 0.7584)  4 Re 2.76, 4 Te 2.83

Properties
As for the crystal system: tetragonal. As for the space group: No. 99. Its magnetization is 0.0 μB per formula unit. The calculation puts the formation energy without anion corrections at 1.56 eV/f.u.

No. 4
The following is a DFT calculation (GGA-PBE) of Tb2Ga3Cu after structural relaxation.

Lattice parameters (Å, degrees): 3.6367 4.3826 7.5886 90.00 90.00 90.00
Closest atoms and distances in Å follow each position.
Positions (direct):
Tb (0.0000, 0.0000, 0.0000)  2 Cu 3.07, 10 Ga 3.12-3.20
Tb (0.0000, 0.5000, 0.4938)  8 Ga 3.04-3.15, 4 Cu 3.12
Ga (0.5000, 0.0000, 0.6530)  1 Cu 2.48, 2 Ga 2.58
Ga (0.5000, 0.5000, 0.1723)  2 Cu 2.48, 1 Ga 2.58
Ga (0.5000, 0.5000, 0.8320)  3 Ga 2.58
Cu (0.5000, 0.0000, 0.3262)  3 Ga 2.48

Properties
As for the formation energy from the elements: -0.595 eV/atom. As for the crystal system: orthorhombic. As for the space group: No. 25. For the excess energy over the best structure of this formula in the dataset, the calculation gives 4.0 meV/atom. Its magnetization is 0.0 μB per formula unit.

No. 5
The following is a DFT calculation (GGA-PBE) of Ti2PbF2 after structural relaxation.

Lattice parameters (Å, degrees): 3.5956 3.5956 11.4056 90.00 90.00 90.00
Closest atoms and distances in Å follow each position.
Positions (direct):
Ti (0.0000, 0.0000, 0.1279)  4 F 2.27
Ti (0.0000, 0.0000, 0.8721)  4 F 2.27
Ti (0.5000, 0.5000, 0.3721)  4 F 2.27
Ti (0.5000, 0.5000, 0.6279)  4 F 2.27
Pb (0.0000, 0.0000, 0.5000)  8 Ti 2.93
Pb (0.5000, 0.5000, 0.0000)  8 Ti 2.93
F (0.0000, 0.5000, 0.2500)  4 Ti 2.27, 4 F 2.54
F (0.0000, 0.5000, 0.7500)  4 Ti 2.27, 4 F 2.54
F (0.5000, 0.0000, 0.2500)  4 Ti 2.27, 4 F 2.54
F (0.5000, 0.0000, 0.7500)  4 Ti 2.27, 4 F 2.54

Properties
As for the crystal system: tetragonal. As for the space group: No. 139. For the excess energy over the best structure of this formula in the dataset, the calculation gives 0.0 meV/atom. Its magnetization is 0.0 μB per formula unit. The calculation puts the formation energy without anion corrections at -7.71 eV/f.u.

No. 6
The following is a DFT calculation (GGA-PBE) of LaY2Au4 after structural relaxation.

Lattice parameters (Å, degrees): 5.1224 5.1224 6.9687 90.00 90.00 90.00
Closest atoms and distances in Å follow each position.
Positions (direct):
La (0.0000, 0.0000, 0.0000)  8 Au 3.14, 2 Y 3.48
Y (0.0000, 0.0000, 0.5000)  8 Au 3.06
Y (0.5000, 0.5000, 0.0000)  8 Au 3.14
Au (0.0000, 0.5000, 0.2594)  4 Y 3.06-3.14, 2 La 3.14, 1 Au 3.35
Au (0.0000, 0.5000, 0.7406)  4 Y 3.06-3.14, 2 La 3.14, 1 Au 3.35
Au (0.5000, 0.0000, 0.2594)  4 Y 3.06-3.14, 2 La 3.14, 1 Au 3.35
Au (0.5000, 0.0000, 0.7406)  4 Y 3.06-3.14, 2 La 3.14, 1 Au 3.35

Properties
As for the formation energy from the elements: -0.599 eV/atom. As for the crystal system: tetragonal. As for the space group: No. 123. Its magnetization is 0.0 μB per formula unit.

No. 7
The following is a DFT calculation (GGA-PBE) of CaMgSbH after structural relaxation.

Lattice parameters (Å, degrees): 4.3910 4.3910 8.7657 90.00 90.00 90.00
Closest atoms and distances in Å follow each position.
Positions (direct):
Ca (0.2500, 0.2500, 0.1129)  4 H 2.41
Ca (0.7500, 0.7500, 0.8871)  4 H 2.41
Mg (0.2500, 0.7500, 0.5000)  4 Sb 2.87, 4 Mg 3.10
Mg (0.7500, 0.2500, 0.5000)  4 Sb 2.87, 4 Mg 3.10
Sb (0.2500, 0.2500, 0.7108)  4 Mg 2.87
Sb (0.7500, 0.7500, 0.2892)  4 Mg 2.87
H (0.2500, 0.7500, 0.0000)  4 Ca 2.41
H (0.7500, 0.2500, 0.0000)  4 Ca 2.41

Properties
As for the crystal system: tetragonal. As for the space group: No. 129. The value obtained for the electronic total energy is -3.39 eV/atom. Its magnetization is 0.0 μB per formula unit.

No. 8
The following is a DFT calculation (GGA-PBE) of BaBe2Te after structural relaxation.

Lattice parameters (Å, degrees): 4.4555 4.4555 10.4217 90.00 90.00 90.00
Closest atoms and distances in Å follow each position.
Positions (direct):
Ba (0.0000, 0.0000, 0.0000)  8 Be 3.15-3.43, 4 Te 3.43
Ba (0.5000, 0.5000, 0.5000)  8 Be 3.15-3.43, 4 Te 3.43
Be (0.0000, 0.0000, 0.5000)  4 Ba 3.15, 4 Be 3.43, 4 Te 3.43
Be (0.0000, 0.5000, 0.7500)  4 Te 3.15, 4 Ba 3.43, 4 Be 3.43
Be (0.5000, 0.0000, 0.2500)  4 Te 3.15, 4 Ba 3.43, 4 Be 3.43
Be (0.5000, 0.5000, 0.0000)  4 Ba 3.15, 4 Be 3.43, 4 Te 3.43
Te (0.0000, 0.5000, 0.2500)  8 Be 3.15-3.43, 4 Ba 3.43
Te (0.5000, 0.0000, 0.7500)  8 Be 3.15-3.43, 4 Ba 3.43

Properties
As for the crystal system: tetragonal. As for the space group: No. 119. Its magnetization is 0.1 μB per formula unit. The calculation puts the formation energy without anion corrections at 2.27 eV/f.u.

> Which value of magnetization does entry 6 give?

0.0 μB per formula unit

> Look up the magnetization of the third one.

0.0 μB per formula unit